Entry 1:
A plane-wave DFT calculation with PBE was carried out for a relaxed structure of Eu2TmAl.

a b c (Å): 4.813 4.813 5.069
angles (deg): 90.00 90.00 90.00
Sites, in units of the cell vectors:
Eu: 0.000 0.500 0.000
Eu: 0.500 0.000 0.000
Tm: 0.000 0.000 0.500
Al: 0.500 0.500 0.500

Computed properties:
As for the space-group type: P4/mmm, No. 123. As for the uncorrected energy: -7.241 eV/atom. As for the offset from the most stable computed form: 0.000 eV per atom.



Entry 2:
A plane-wave DFT calculation with PBE was carried out for a relaxed structure of Eu2TmAl.

a b c (Å): 7.799 7.799 7.799
angles (deg): 90.00 90.00 90.00
Sites, in units of the cell vectors:
Eu: 0.250 0.250 0.250
Eu: 0.250 0.250 0.750
Eu: 0.250 0.750 0.250
Eu: 0.250 0.750 0.750
Eu: 0.750 0.250 0.250
Eu: 0.750 0.250 0.750
Eu: 0.750 0.750 0.250
Eu: 0.750 0.750 0.750
Tm: 0.000 0.000 0.000
Tm: 0.000 0.500 0.500
Tm: 0.500 0.000 0.500
Tm: 0.500 0.500 0.000
Al: 0.000 0.000 0.500
Al: 0.000 0.500 0.000
Al: 0.500 0.000 0.000
Al: 0.500 0.500 0.500

Computed properties:
As for the space-group type: Fm-3m, No. 225. As for the uncorrected energy: -7.175 eV/atom. As for the offset from the most stable computed form: 0.066 eV per atom.



no.,volume (Å³/atom),total magnetization (Bohr magnetons per cell)
1,29.361,14.3
2,29.651,56.8